*w*
# BaRu2Rh meta-GGA SCAN PBEsol geometry
data_BaRu2Rh
_space_group_name_H-M_alt 'I 4/m m m'
_space_group_IT_number 139
_space_group_name_Hall '-I 4 2'
_cell_length_a 4.260
_cell_length_b 4.260
_cell_length_c 7.705
_cell_angle_alpha 90.00
_cell_angle_beta 90.00
_cell_angle_gamma 90.00
loop_
_atom_site_label
_atom_site_fract_x
_atom_site_fract_y
_atom_site_fract_z
_atom_site_occupancy
Ba1 0.000 0.000 0.000 1
Ru1 0.000 0.500 0.250 1
Rh1 0.000 0.000 0.500 1
# N(E_F)   10.54 states/eV/cell

---

*x*
# BaRu2Rh meta-GGA SCAN PBEsol geometry
data_BaRu2Rh
_space_group_name_H-M_alt 'R -3 m'
_space_group_IT_number 166
_space_group_name_Hall '-R 3 2"'
_cell_length_a 4.3336
_cell_length_b 4.3336
_cell_length_c 16.9700
_cell_angle_alpha 90.00
_cell_angle_beta 90.00
_cell_angle_gamma 120.00
loop_
_atom_site_label
_atom_site_fract_x
_atom_site_fract_y
_atom_site_fract_z
_atom_site_occupancy
Ba1 0.0000 0.0000 0.0000 1
Ru1 0.0000 0.0000 0.1854 1
Rh1 0.0000 0.0000 0.5000 1
# N(E_F)   14.49 states/eV/cell

---

The structure with the least stability is *w*.

---

*w*
# BaSrRh meta-GGA SCAN PBEsol geometry
data_BaSrRh
_space_group_name_H-M_alt 'F -4 3 m'
_space_group_IT_number 216
_space_group_name_Hall 'F -4 2 3'
_cell_length_a 7.324
_cell_length_b 7.324
_cell_length_c 7.324
_cell_angle_alpha 90.00
_cell_angle_beta 90.00
_cell_angle_gamma 90.00
loop_
_atom_site_label
_atom_site_fract_x
_atom_site_fract_y
_atom_site_fract_z
_atom_site_occupancy
Ba1 0.000 0.000 0.000 1
Sr1 0.000 0.000 0.500 1
Rh1 0.250 0.250 0.750 1
# N(E_F)   13.18 states/eV/cell

---

*x*
# BaSrRh meta-GGA SCAN PBEsol geometry
data_BaSrRh
_space_group_name_H-M_alt 'F m m 2'
_space_group_IT_number 42
_space_group_name_Hall 'F 2 -2'
_cell_length_a 5.245
_cell_length_b 5.254
_cell_length_c 14.772
_cell_angle_alpha 90.00
_cell_angle_beta 90.00
_cell_angle_gamma 90.00
loop_
_atom_site_label
_atom_site_fract_x
_atom_site_fract_y
_atom_site_fract_z
_atom_site_occupancy
Ba1 0.000 0.000 0.000 1
Sr1 0.000 0.000 0.765 1
Rh1 0.000 0.000 0.378 1
# N(E_F)   10.98 states/eV/cell

---

*y*
# BaSrRh meta-GGA SCAN PBEsol geometry
data_BaSrRh
_space_group_name_H-M_alt 'P 3 m 1'
_space_group_IT_number 156
_cell_length_a 4.3634
_cell_length_b 4.3634
_cell_length_c 6.9296
_cell_angle_alpha 90.00
_cell_angle_beta 90.00
_cell_angle_gamma 120.00
loop_
_space_group_symop_operation_xyz
'x,y,z'
'-y,x-y,z'
'-x+y,-x,z'
'-y,-x,z'
'-x+y,y,z'
'x,x-y,z'
loop_
_atom_site_label
_atom_site_fract_x
_atom_site_fract_y
_atom_site_fract_z
_atom_site_occupancy
Ba1 0.0000 0.0000 0.0000 1
Sr1 0.6667 0.3333 0.5470 1
Rh1 0.3333 0.6667 0.7678 1
# N(E_F)   1.83 states/eV/cell

---

The structure with the least stability is *x*.

---

*w*
# BaSr2Rh meta-GGA SCAN PBEsol geometry
data_BaSr2Rh
_space_group_name_H-M_alt 'C 1 m 1'
_space_group_IT_number 8
_cell_length_a 11.662
_cell_length_b 4.055
_cell_length_c 7.434
_cell_angle_alpha 90.00
_cell_angle_beta 115.43
_cell_angle_gamma 90.00
loop_
_space_group_symop_operation_xyz
'x,y,z'
'x,-y,z'
'x+1/2,y+1/2,z'
'x+1/2,-y+1/2,z'
loop_
_atom_site_label
_atom_site_fract_x
_atom_site_fract_y
_atom_site_fract_z
_atom_site_occupancy
Ba1 0.000 0.000 0.000 1
Sr1 0.152 0.500 0.675 1
Sr2 0.333 0.500 0.378 1
Rh1 0.367 0.000 0.680 1
# N(E_F)   5.10 states/eV/cell

---

*x*
# BaSr2Rh meta-GGA SCAN PBEsol geometry
data_BaSr2Rh
_space_group_name_H-M_alt 'C m m m'
_space_group_IT_number 65
_space_group_name_Hall '-C 2 2'
_cell_length_a 6.172
_cell_length_b 12.993
_cell_length_c 4.267
_cell_angle_alpha 90.00
_cell_angle_beta 90.00
_cell_angle_gamma 90.00
loop_
_atom_site_label
_atom_site_fract_x
_atom_site_fract_y
_atom_site_fract_z
_atom_site_occupancy
Ba1 0.000 0.000 0.000 1
Sr1 0.000 0.350 0.500 1
Rh1 0.000 0.500 0.000 1
# N(E_F)   4.13 states/eV/cell

---

The structure with the least stability is *w*.